A plane-wave DFT calculation with PBE was carried out for a geometry-optimized Cr2FeAu structure.

Unit cell a=4.703 b=4.703 c=4.579 alpha=104.04 beta=104.04 gamma=35.63
Fractional coordinates of all 4 atoms:
Cr: 0.000 0.000 0.000
Cr: 0.727 0.727 0.200
Fe: 0.483 0.483 0.470
Au: 0.239 0.239 0.706

Computed properties:
**Calculated volume**: 14.3 Å³ per atom
**E_tot**: -0.5451 Ry per atom
**Energy above the lowest structure with this stoichiometry**: 106 meV per atom

---

A plane-wave DFT calculation with PBE was carried out for a geometry-optimized Cr2FeAu structure.

Unit cell a=2.625 b=2.625 c=8.287 alpha=90.00 beta=90.00 gamma=109.65
Fractional coordinates of all 4 atoms:
Cr: 0.000 0.000 0.000
Cr: 0.500 0.500 0.216
Fe: 0.500 0.500 0.770
Au: 0.000 0.000 0.495

Computed properties:
**Calculated volume**: 13.4 Å³ per atom
**E_tot**: -0.5493 Ry per atom
**Energy above the lowest structure with this stoichiometry**: 48 meV per atom

---

A plane-wave DFT calculation with PBE was carried out for a geometry-optimized CrFeAu structure.

Unit cell a=4.844 b=4.844 c=4.844 alpha=143.28 beta=139.97 gamma=55.44
Fractional coordinates of all 3 atoms:
Cr: 0.000 0.000 0.000
Fe: 0.365 0.365 0.000
Au: 0.683 0.683 0.000

Computed properties:
**Calculated volume**: 14.5 Å³ per atom
**E_tot**: -0.5105 Ry per atom
**Energy above the lowest structure with this stoichiometry**: 0 meV per atom

---

A plane-wave DFT calculation with PBE was carried out for a geometry-optimized Mg2CrFeAu structure.

Unit cell a=4.606 b=4.606 c=4.702 alpha=90.00 beta=90.00 gamma=90.00
Fractional coordinates of all 5 atoms:
Mg: 0.000 0.500 0.000
Mg: 0.500 0.000 0.000
Cr: 0.000 0.000 0.500
Fe: 0.500 0.500 0.000
Au: 0.500 0.500 0.500

Computed properties:
**Calculated volume**: 20.0 Å³ per atom
**E_tot**: -0.2665 Ry per atom

---

A plane-wave DFT calculation with PBE was carried out for a geometry-optimized Cr2FeAuN structure.

Unit cell a=3.906 b=3.906 c=3.902 alpha=90.00 beta=90.00 gamma=90.00
Fractional coordinates of all 5 atoms:
Cr: 0.000 0.500 0.000
Cr: 0.500 0.000 0.000
Fe: 0.000 0.000 0.500
Au: 0.500 0.500 0.500
N: 0.000 0.000 0.000

Computed properties:
**ΔE_f (raw)**: -0.103 eV/atom
**Calculated volume**: 11.9 Å³ per atom
**E_tot**: -0.5854 Ry per atom

---

A plane-wave DFT calculation with PBE was carried out for a geometry-optimized CrFeSiAu2 structure.

Unit cell a=4.860 b=4.860 c=4.043 alpha=90.00 beta=90.00 gamma=90.00
Fractional coordinates of all 5 atoms:
Cr: 0.000 0.000 0.000
Fe: 0.000 0.000 0.500
Si: 0.500 0.500 0.000
Au: 0.000 0.500 0.500
Au: 0.500 0.000 0.500

Computed properties:
**ΔE_f (raw)**: 1.021 eV/atom
**Calculated volume**: 19.1 Å³ per atom
**E_tot**: -0.3669 Ry per atom

---

A plane-wave DFT calculation with PBE was carried out for a geometry-optimized Ta2CrFeAu structure.

Unit cell a=4.879 b=4.879 c=4.509 alpha=90.00 beta=90.00 gamma=90.00
Fractional coordinates of all 5 atoms:
Ta: 0.000 0.500 0.000
Ta: 0.500 0.000 0.000
Cr: 0.000 0.000 0.500
Fe: 0.500 0.500 0.500
Au: 0.500 0.500 0.000

Computed properties:
**Calculated volume**: 21.5 Å³ per atom
**E_tot**: -0.4945 Ry per atom

---

A plane-wave DFT calculation with PBE was carried out for a geometry-optimized Tl2CrFeAu structure.

Unit cell a=5.274 b=5.274 c=4.151 alpha=90.00 beta=90.00 gamma=90.00
Fractional coordinates of all 5 atoms:
Tl: 0.000 0.500 0.000
Tl: 0.500 0.000 0.000
Cr: 0.000 0.000 0.000
Fe: 0.000 0.000 0.500
Au: 0.500 0.500 0.500

Computed properties:
**Calculated volume**: 23.1 Å³ per atom
**E_tot**: -0.3135 Ry per atom